DFT (PBE-GGA) results for a relaxed ZrBeNiBi crystal.

## Properties
* theoretical density: 8.76 g/cm3
* VASP energy: -21.10 eV for the cell shown

Cell lengths 4.6211, 4.6211, 4.6211 Å; angles 60.00, 60.00, 60.00 degrees
Closest atoms and distances in Å follow each position.
Element x y z (fractional)
Zr: 0.0000 0.0000 0.0000  4 Ni 2.83, 4 Be 2.83
Be: 0.2500 0.2500 0.2500  4 Bi 2.83, 4 Zr 2.83
Ni: 0.7500 0.7500 0.7500  4 Bi 2.83, 4 Zr 2.83
Bi: 0.5000 0.5000 0.5000  4 Be 2.83, 4 Ni 2.83